Entry 1:
# YRh | the Alexandria database | PBE | relaxed
# Total moment, μB per atom: 0.000
# ΔH_f (0 K), eV per atom: -0.634
# Space-group type: Fddd (70)
data_YRh
_symmetry_space_group_name_H-M 'P 1'
_symmetry_Int_Tables_number 1
_cell_length_a 11.0451
_cell_length_b 8.7689
_cell_length_c 7.2392
_cell_angle_alpha 90.00
_cell_angle_beta 90.00
_cell_angle_gamma 90.00
loop_
_symmetry_equiv_pos_as_xyz
'x,y,z'
loop_
_atom_site_label
_atom_site_type_symbol
_atom_site_fract_x
_atom_site_fract_y
_atom_site_fract_z
Y1 Y 0.0000 0.2066 0.0000
Y2 Y 0.0000 0.7934 0.0000
Y3 Y 0.2500 0.5434 0.2500
Y4 Y 0.2500 0.9566 0.2500
Y5 Y 0.0000 0.7066 0.5000
Y6 Y 0.0000 0.2934 0.5000
Y7 Y 0.2500 0.0434 0.7500
Y8 Y 0.2500 0.4566 0.7500
Y9 Y 0.5000 0.2066 0.5000
Y10 Y 0.5000 0.7934 0.5000
Y11 Y 0.7500 0.5434 0.7500
Y12 Y 0.7500 0.9566 0.7500
Y13 Y 0.5000 0.7066 0.0000
Y14 Y 0.5000 0.2934 0.0000
Y15 Y 0.7500 0.0434 0.2500
Y16 Y 0.7500 0.4566 0.2500
Rh1 Rh 0.0000 0.0000 0.3101
Rh2 Rh 0.0000 0.0000 0.6899
Rh3 Rh 0.2500 0.7500 0.9399
Rh4 Rh 0.2500 0.7500 0.5601
Rh5 Rh 0.0000 0.5000 0.8101
Rh6 Rh 0.0000 0.5000 0.1899
Rh7 Rh 0.2500 0.2500 0.4399
Rh8 Rh 0.2500 0.2500 0.0601
Rh9 Rh 0.5000 0.0000 0.8101
Rh10 Rh 0.5000 0.0000 0.1899
Rh11 Rh 0.7500 0.7500 0.4399
Rh12 Rh 0.7500 0.7500 0.0601
Rh13 Rh 0.5000 0.5000 0.3101
Rh14 Rh 0.5000 0.5000 0.6899
Rh15 Rh 0.7500 0.2500 0.9399
Rh16 Rh 0.7500 0.2500 0.5601

Entry 2:
# YRh | the Alexandria database | PBE | relaxed
# Total moment, μB per atom: 0.000
# ΔH_f (0 K), eV per atom: -0.206
# Space-group type: I4/m (87)
data_YRh
_symmetry_space_group_name_H-M 'P 1'
_symmetry_Int_Tables_number 1
_cell_length_a 10.6189
_cell_length_b 10.6189
_cell_length_c 3.3380
_cell_angle_alpha 90.00
_cell_angle_beta 90.00
_cell_angle_gamma 90.00
loop_
_symmetry_equiv_pos_as_xyz
'x,y,z'
loop_
_atom_site_label
_atom_site_type_symbol
_atom_site_fract_x
_atom_site_fract_y
_atom_site_fract_z
Y1 Y 0.3313 0.1344 0.0000
Y2 Y 0.6687 0.8656 0.0000
Y3 Y 0.8656 0.3313 0.0000
Y4 Y 0.1344 0.6687 0.0000
Y5 Y 0.8313 0.6344 0.5000
Y6 Y 0.1687 0.3656 0.5000
Y7 Y 0.3656 0.8313 0.5000
Y8 Y 0.6344 0.1687 0.5000
Rh1 Rh 0.1751 0.9255 0.0000
Rh2 Rh 0.8249 0.0745 0.0000
Rh3 Rh 0.0745 0.1751 0.0000
Rh4 Rh 0.9255 0.8249 0.0000
Rh5 Rh 0.6751 0.4255 0.5000
Rh6 Rh 0.3249 0.5745 0.5000
Rh7 Rh 0.5745 0.6751 0.5000
Rh8 Rh 0.4255 0.3249 0.5000

The evaluated DOS(E_F) for the records listed, in turn: 0.37; 0.63 states/eV per atom.